Li2YTc (GGA-PBE, relaxed); electronic total energy = -19.21 eV per cell; space-group type = P4/mmm, No. 123; energy of formation = 1.44 eV/f.u.; relative energy among the computed polymorphs = 100 meV per atom; V = 73 Å³/cell
1.0
4.052 0.000 0.000
0.000 4.052 0.000
0.000 0.000 4.471
Li Y Tc
2 1 1
direct
0.000 0.500 0.000
0.500 0.000 0.000
0.000 0.000 0.500
0.500 0.500 0.500